{"formula": "K2P2O", "functional": "PBE-GGA", "state": "optimized geometry", "vol_a3_per_atom": 24.53, "relative_energy_mev_per_atom": 0, "spacegroup": "I4/mmm", "total_energy_ev_per_cell": -19.07, "lattice": [[-3.1790, 3.1790, 3.0343], [3.1790, -3.1790, 3.0343], [3.1790, 3.1790, -3.0343]], "species": ["K", "K", "P", "P", "O"], "frac_coords": [[0.2500, 0.7500, 0.5000], [0.7500, 0.2500, 0.5000], [0.1883, 0.1883, 0.0000], [0.8117, 0.8117, 0.0000], [0.5000, 0.5000, 0.0000]]}